## PaBiB2O8 (GGA-PBE)

Data for a relaxed PaBiB2O8 crystal.

It has space group P-3m1 (No. 164), with a = 5.1509 Å, b = 5.1509 Å, c = 6.9229 Å, α = 90.00°, β = 90.00° and γ = 120.00°. The distinct sites, in fractional coordinates, are Pa at (0.0000, 0.0000, 0.0000), Bi at (0.0000, 0.0000, 0.5000), B at (0.3333, 0.6667, 0.7180), O at (0.1775, 0.3550, 0.7871) and O at (0.3333, 0.6667, 0.5075).

The calculated density is 6.16 g cm⁻³. The formation energy (no corrections) is -2031 meV/atom. As for the total DFT energy (no corrections): -90.77 eV for the cell shown.

## PaBiBO6 (GGA-PBE)

Data for a relaxed PaBiBO6 crystal.

It has space group P1 (No. 1), with a = 4.890 Å, b = 4.914 Å, c = 5.932 Å, α = 92.05°, β = 112.10° and γ = 90.48°. The distinct sites, in fractional coordinates, are Pa at (0.000, 0.000, 0.000), Bi at (0.662, 0.532, 0.396), B at (0.144, 0.081, 0.504), O at (0.025, 0.829, 0.388), O at (0.058, 0.209, 0.675), O at (0.321, 0.197, 0.395), O at (0.338, 0.732, 0.084), O at (0.695, 0.755, 0.732) and O at (0.738, 0.263, 0.094).

The calculated density is 6.88 g cm⁻³. The formation energy (no corrections) is -2201 meV/atom. As for the total DFT energy (no corrections): -69.61 eV for the cell shown.

## BiBPbO5 (GGA-PBE)

Data for a relaxed BiBPbO5 crystal.

It has space group C2/c (No. 15), with a = 6.641 Å, b = 8.992 Å, c = 7.206 Å, α = 90.00°, β = 109.14° and γ = 90.00°. The distinct sites, in fractional coordinates, are Bi at (0.000, 0.133, 0.250), B at (0.000, 0.193, 0.750), Pb at (0.000, 0.500, 0.000), O at (0.000, 0.392, 0.250), O at (0.123, 0.286, 0.652) and O at (0.143, 0.088, 0.909).

The calculated density is 8.28 g cm⁻³. The formation energy (no corrections) is -1324 meV/atom. As for the total DFT energy (no corrections): -198.61 eV for the cell shown.

## BiBPbO4 (GGA-PBE)

Data for a relaxed BiBPbO4 crystal.

It has space group P2_1/c (No. 14), with a = 7.708 Å, b = 7.568 Å, c = 10.572 Å, α = 90.00°, β = 133.18° and γ = 90.00°. The distinct sites, in fractional coordinates, are Bi at (0.185, 0.000, 0.343), B at (0.000, 0.249, 0.009), Pb at (0.500, 0.108, 0.183), O at (0.002, 0.248, 0.879), O at (0.206, 0.205, 0.179), O at (0.206, 0.705, 0.028) and O at (0.500, 0.101, 0.605).

The calculated density is 7.25 g cm⁻³. The formation energy (no corrections) is -1697 meV/atom. As for the total DFT energy (no corrections): -183.92 eV for the cell shown.

## BiB2Pb2O6 (GGA-PBE)

Data for a relaxed BiB2Pb2O6 crystal.

It has space group P-3 (No. 147), with a = 5.0993 Å, b = 5.0993 Å, c = 8.4380 Å, α = 90.00°, β = 90.00° and γ = 120.00°. The distinct sites, in fractional coordinates, are Bi at (0.0000, 0.0000, 0.0000), B at (0.3333, 0.6667, 0.1724), Pb at (0.3333, 0.6667, 0.6559) and O at (0.0573, 0.3986, 0.1728).

The calculated density is 6.48 g cm⁻³. The formation energy (no corrections) is -1634 meV/atom. As for the total DFT energy (no corrections): -72.38 eV for the cell shown.

## BiBPdO5 (GGA-PBE)

Data for a relaxed BiBPdO5 crystal.

It has space group C2/c (No. 15), with a = 6.413 Å, b = 8.786 Å, c = 6.907 Å, α = 90.00°, β = 112.76° and γ = 90.00°. The distinct sites, in fractional coordinates, are Bi at (0.000, 0.150, 0.250), B at (0.000, 0.192, 0.750), Pd at (0.000, 0.500, 0.000), O at (0.000, 0.403, 0.250), O at (0.107, 0.284, 0.632) and O at (0.165, 0.086, 0.917).

The calculated density is 7.52 g cm⁻³. The formation energy (no corrections) is -1169 meV/atom. As for the total DFT energy (no corrections): -199.58 eV for the cell shown.

## Pm3BiB4O12 (GGA-PBE)

Data for a relaxed Pm3BiB4O12 crystal.

It has space group R32 (No. 155, hexagonal axes), with a = 10.3389 Å, b = 10.3389 Å, c = 8.8240 Å, α = 90.00°, β = 90.00° and γ = 120.00°. The distinct sites, in fractional coordinates, are Pm at (0.0000, 0.5269, 0.0000), Bi at (0.0000, 0.0000, 0.0000), B at (0.0000, 0.0000, 0.5000), B at (0.0000, 0.4737, 0.5000), O at (0.0000, 0.6062, 0.5000), O at (0.0000, 0.8666, 0.5000) and O at (0.0058, 0.1974, 0.8347).

The calculated density is 5.36 g cm⁻³. The formation energy (no corrections) is -2715 meV/atom. As for the total DFT energy (no corrections): -475.92 eV for the cell shown.

## BiBPtO5 (GGA-PBE)

Data for a relaxed BiBPtO5 crystal.

It has space group C2/c (No. 15), with a = 6.434 Å, b = 8.809 Å, c = 6.961 Å, α = 90.00°, β = 113.64° and γ = 90.00°. The distinct sites, in fractional coordinates, are Bi at (0.000, 0.150, 0.250), B at (0.000, 0.193, 0.750), Pt at (0.000, 0.500, 0.000), O at (0.000, 0.400, 0.250), O at (0.104, 0.285, 0.631) and O at (0.169, 0.086, 0.916).

The calculated density is 9.09 g cm⁻³. The formation energy (no corrections) is -1212 meV/atom. As for the total DFT energy (no corrections): -204.33 eV for the cell shown.

## PuBiB2O8 (GGA-PBE)

Data for a relaxed PuBiB2O8 crystal.

It has space group P-3m1 (No. 164), with a = 5.0578 Å, b = 5.0578 Å, c = 6.8634 Å, α = 90.00°, β = 90.00° and γ = 120.00°. The distinct sites, in fractional coordinates, are Pu at (0.0000, 0.0000, 0.0000), Bi at (0.0000, 0.0000, 0.5000), B at (0.3333, 0.6667, 0.7227), O at (0.1754, 0.3509, 0.8044) and O at (0.3333, 0.6667, 0.5185).

The calculated density is 6.58 g cm⁻³. The formation energy (no corrections) is -1846 meV/atom. As for the total DFT energy (no corrections): -93.39 eV for the cell shown.

## Rb2BiB2O6 (GGA-PBE)

Data for a relaxed Rb2BiB2O6 crystal.

It has space group R-3m (No. 166, hexagonal axes), with a = 5.4833 Å, b = 5.4833 Å, c = 19.7017 Å, α = 90.00°, β = 90.00° and γ = 120.00°. The distinct sites, in fractional coordinates, are Rb at (0.0000, 0.0000, 0.2068), Bi at (0.0000, 0.0000, 0.0000), B at (0.0000, 0.0000, 0.4006) and O at (0.0402, 0.5201, 0.2617).

The calculated density is 4.83 g cm⁻³. The formation energy (no corrections) is -1876 meV/atom. As for the total DFT energy (no corrections): -208.65 eV for the cell shown.

## RbBiBO4 (GGA-PBE)

Data for a relaxed RbBiBO4 crystal.

It has space group Cmcm (No. 63), with a = 7.007 Å, b = 10.080 Å, c = 6.554 Å, α = 90.00°, β = 90.00° and γ = 90.00°. The distinct sites, in fractional coordinates, are Rb at (0.000, 0.000, 0.000), Bi at (0.000, 0.356, 0.250), B at (0.000, 0.378, 0.750), O at (0.000, 0.283, 0.579) and O at (0.172, 0.470, 0.750).

The calculated density is 5.30 g cm⁻³. The formation energy (no corrections) is -1510 meV/atom. As for the total DFT energy (no corrections): -167.71 eV for the cell shown.

## Rb2BiBO4 (GGA-PBE)

Data for a relaxed Rb2BiBO4 crystal.

It has space group Fddd (No. 70, origin choice 2), with a = 5.398 Å, b = 11.731 Å, c = 23.245 Å, α = 90.00°, β = 90.00° and γ = 90.00°. The distinct sites, in fractional coordinates, are Rb at (0.125, 0.125, 0.306), Bi at (0.125, 0.125, 0.125), B at (0.125, 0.125, 0.625) and O at (0.032, 0.297, 0.838).

The calculated density is 4.10 g cm⁻³. The formation energy (no corrections) is -1408 meV/atom. As for the total DFT energy (no corrections): -348.74 eV for the cell shown.